No. 1
A relaxed structure of TmGaTe3Pb, computed with PBE.

magnetic moment = 0.01 μB per formula unit
SG = Cmcm (63)
uncorrected energy = -4.018 eV/atom

abc: 7.798 7.798 11.127
angles: 90.00 90.00 146.80
Fractional coordinates of all 12 atoms:
Tm 0.000 0.000 0.000
Tm 0.000 0.000 0.500
Ga 0.464 0.536 0.750
Ga 0.536 0.464 0.250
Te 0.093 0.907 0.750
Te 0.357 0.643 0.538
Te 0.357 0.643 0.962
Te 0.643 0.357 0.038
Te 0.643 0.357 0.462
Te 0.907 0.093 0.250
Pb 0.250 0.750 0.250
Pb 0.750 0.250 0.750

=====

No. 2
A relaxed structure of RbHoTeS, computed with PBE.

magnetic moment = 0.00 μB per formula unit
SG = R3m (160)
uncorrected energy = -4.784 eV/atom

abc: 8.513 8.513 8.513
angles: 28.98 28.98 28.98
Fractional coordinates of all 4 atoms:
Rb 0.000 0.000 0.000
Ho 0.515 0.515 0.515
Te 0.774 0.774 0.774
S 0.237 0.237 0.237

=====

No. 3
A relaxed structure of GdTmNi2Pb, computed with PBE.

magnetic moment = 0.00 μB per formula unit
SG = Amm2 (38)
uncorrected energy = -5.306 eV/atom

abc: 3.637 7.356 7.356
angles: 31.42 90.00 90.00
Fractional coordinates of all 5 atoms:
Gd 0.000 0.000 0.000
Tm 0.000 0.282 0.282
Ni 0.500 0.440 0.440
Ni 0.500 0.841 0.841
Pb 0.500 0.641 0.641

=====

No. 4
A relaxed structure of SrAgSb, computed with PBE.

SG = P6_3/mmc (194)
uncorrected energy = -3.637 eV/atom

abc: 4.790 4.790 8.684
angles: 90.00 90.00 120.00
Fractional coordinates of all 6 atoms:
Sr 0.000 0.000 0.000
Sr 0.000 0.000 0.500
Ag 0.333 0.667 0.250
Ag 0.667 0.333 0.750
Sb 0.333 0.667 0.750
Sb 0.667 0.333 0.250

=====

No. 5
A relaxed structure of ZnGe, computed with PBE.

SG = Pbcm (57)
uncorrected energy = -2.718 eV/atom

abc: 5.904 4.964 4.791
angles: 90.00 90.00 90.00
Fractional coordinates of all 8 atoms:
Zn 0.115 0.091 0.250
Zn 0.115 0.409 0.750
Zn 0.885 0.591 0.250
Zn 0.885 0.909 0.750
Ge 0.365 0.577 0.250
Ge 0.365 0.923 0.750
Ge 0.635 0.077 0.250
Ge 0.635 0.423 0.750

=====

No. 6
A relaxed structure of BaErAsO, computed with PBE.

magnetic moment = 0.00 μB per formula unit
relative energy among the computed polymorphs = 0.0000 eV per atom
SG = Pmc2_1 (26)
uncorrected energy = -6.086 eV/atom

abc: 4.654 7.585 6.684
angles: 90.00 90.00 90.00
Fractional coordinates of all 8 atoms:
Ba 0.000 0.205 0.000
Ba 0.000 0.795 0.500
Er 0.500 0.390 0.592
Er 0.500 0.610 0.092
As 0.000 0.223 0.485
As 0.000 0.777 0.985
O 0.500 0.375 0.916
O 0.500 0.625 0.416

=====

No. 7
A relaxed structure of Hf5Sb9, computed with PBE.

magnetic moment = 0.01 μB per formula unit
SG = P4/n (85)
uncorrected energy = -6.641 eV/atom

abc: 8.822 8.822 8.737
angles: 90.00 90.00 90.00
Fractional coordinates of all 28 atoms:
Hf 0.043 0.855 0.234
Hf 0.145 0.543 0.766
Hf 0.250 0.250 0.245
Hf 0.355 0.957 0.766
Hf 0.457 0.645 0.234
Hf 0.543 0.355 0.766
Hf 0.645 0.043 0.234
Hf 0.750 0.750 0.755
Hf 0.855 0.457 0.234
Hf 0.957 0.145 0.766
Sb 0.019 0.330 0.498
Sb 0.053 0.847 0.882
Sb 0.153 0.553 0.118
Sb 0.170 0.019 0.498
Sb 0.250 0.250 0.892
Sb 0.330 0.481 0.498
Sb 0.347 0.947 0.118
Sb 0.447 0.653 0.882
Sb 0.481 0.170 0.498
Sb 0.519 0.830 0.502
Sb 0.553 0.347 0.118
Sb 0.653 0.053 0.882
Sb 0.670 0.519 0.502
Sb 0.750 0.750 0.108
Sb 0.830 0.981 0.502
Sb 0.847 0.447 0.882
Sb 0.947 0.153 0.118
Sb 0.981 0.670 0.502

=====

No. 8
A relaxed structure of Be3Pd5, computed with PBE.

SG = P4/mmm (123)
uncorrected energy = -5.182 eV/atom

abc: 2.778 2.778 12.686
angles: 90.00 90.00 90.00
Fractional coordinates of all 8 atoms:
Be 0.000 0.000 0.000
Be 0.500 0.500 0.382
Be 0.500 0.500 0.618
Pd 0.000 0.000 0.277
Pd 0.000 0.000 0.500
Pd 0.000 0.000 0.723
Pd 0.500 0.500 0.111
Pd 0.500 0.500 0.889